Entry 1:
Computed, not measured: an optimized crystal structure of Ac2La2Nd at the PBE level of DFT.

As for the spin magnetization: 0.0 μB per formula unit. Its uncorrected energy is -4.52 eV per atom.

The structure belongs to space group C2/c (No. 15); the cell edges are 16.9103, 6.7134 and 7.3474 Å and the angles 90.00°, 105.37° and 90.00°. Symmetry generates all atoms from Ac at (0.1977, 0.0852, 0.1523), La at (0.0955, 0.4172, 0.4461) and Nd at (0.0000, 0.0901, 0.7500).


Entry 2:
Computed, not measured: an optimized crystal structure of Pm4AlTlAg2 at the PBE level of DFT.

As for the spin magnetization: 0.0 μB per formula unit. Its uncorrected energy is -4.16 eV per atom.

The structure belongs to space group R-3m (No. 166, hexagonal axes); the cell edges are 5.3327, 5.3327 and 26.2792 Å and the angles 90.00°, 90.00° and 120.00°. Symmetry generates all atoms from Pm at (0.0000, 0.0000, 0.1221), Pm at (0.0000, 0.0000, 0.3723), Al at (0.0000, 0.0000, 0.0000), Tl at (0.0000, 0.0000, 0.5000) and Ag at (0.0000, 0.0000, 0.2513).


Entry 3:
Computed, not measured: an optimized crystal structure of Tb6Co2NiBr3 at the PBE level of DFT.

As for the spin magnetization: 0.0 μB per formula unit. The formation energy (no corrections) is -0.781 eV/atom.

The structure belongs to space group C2/m (No. 12); the cell edges are 6.7631, 11.7147 and 7.9261 Å and the angles 90.00°, 106.51° and 90.00°. Symmetry generates all atoms from Tb at (0.2227, 0.0000, 0.1902), Tb at (0.2337, 0.3297, 0.1904), Co at (0.0000, 0.1666, 0.0000), Ni at (0.0000, 0.5000, 0.0000), Br at (0.0000, 0.0000, 0.5000) and Br at (0.0000, 0.3329, 0.5000).


Entry 4:
Computed, not measured: an optimized crystal structure of Ba2AgMo at the PBE level of DFT.

As for the spin magnetization: 3.5 μB per formula unit. Its uncorrected energy is -3.55 eV per atom.

The structure belongs to space group I-4m2 (No. 119); the cell edges are 4.8620, 4.8620 and 11.3799 Å and the angles 90.00°, 90.00° and 90.00°. Symmetry generates all atoms from Ba at (0.0000, 0.0000, 0.0000), Ba at (0.0000, 0.5000, 0.2500), Ag at (0.0000, 0.0000, 0.5000) and Mo at (0.0000, 0.5000, 0.7500).